VASP calculation (PBE) on an optimized crystal structure of YEr12Tm2.

a = 6.3544 Å, b = 6.3544 Å, c = 24.6158 Å
α = 90.00°, β = 90.00°, γ = 90.00°
With the nearest neighbours (Å) after each atom.
Sites, in units of the cell vectors:
Y (0.5000, 0.0000, 0.0000)  8 Er 3.57-3.58
Y (0.0000, 0.5000, 0.0000)  8 Er 3.57-3.58
Er (0.5000, 0.5000, 0.7849)  5 Er 3.07-3.37
Er (0.0000, 0.0000, 0.7849)  5 Er 3.07-3.37
Er (0.7506, 0.7494, 0.8870)  6 Er 3.18-3.37
Er (0.2506, 0.7506, 0.8870)  6 Er 3.18-3.37
Er (0.0000, 0.0000, 0.3397)  5 Er 3.07-3.40
Er (0.2494, 0.7494, 0.1130)  6 Er 3.18-3.37
Er (0.8309, 0.3309, 0.5611)  8 Er 3.04-3.40
Er (0.5000, 0.5000, 0.3397)  5 Er 3.07-3.40
Er (0.2494, 0.2506, 0.8870)  6 Er 3.18-3.37
Er (0.7494, 0.7506, 0.1130)  6 Er 3.18-3.37
Er (0.3309, 0.1691, 0.5611)  8 Er 3.04-3.40
Er (0.6691, 0.1691, 0.4389)  8 Er 3.04-3.40
Er (0.0000, 0.0000, 0.6603)  5 Er 3.07-3.40
Er (0.1691, 0.3309, 0.4389)  8 Er 3.04-3.40
Er (0.2506, 0.2494, 0.1130)  6 Er 3.18-3.37
Er (0.8309, 0.6691, 0.4389)  8 Er 3.04-3.40
Er (0.6691, 0.8309, 0.5611)  8 Er 3.04-3.40
Er (0.0000, 0.0000, 0.2151)  5 Er 3.07-3.37
Er (0.1691, 0.6691, 0.5611)  8 Er 3.04-3.40
Er (0.5000, 0.5000, 0.6603)  5 Er 3.07-3.40
Er (0.7494, 0.2494, 0.8870)  6 Er 3.18-3.37
Er (0.5000, 0.5000, 0.2151)  5 Er 3.07-3.37
Er (0.3309, 0.8309, 0.4389)  8 Er 3.04-3.40
Er (0.7506, 0.2506, 0.1130)  6 Er 3.18-3.37
Tm (0.5000, 0.0000, 0.2737)  8 Er 3.49-3.57
Tm (0.0000, 0.5000, 0.2737)  8 Er 3.49-3.57
Tm (0.0000, 0.5000, 0.7263)  8 Er 3.49-3.57
Tm (0.5000, 0.0000, 0.7263)  8 Er 3.49-3.57

Computed properties:
DOS(E_F)   51.55 states/eV per cell
M_tot   0.00 μB/cell
ΔH_f (0 K)   0.39 eV/atom
Electronic total energy   -4.291 eV/atom
Space group   P4/nbm (125)

VASP calculation (PBE) on an optimized crystal structure of TcRuCl2.

a = 8.3288 Å, b = 8.3288 Å, c = 8.3288 Å
α = 20.72°, β = 20.72°, γ = 20.72°
With the nearest neighbours (Å) after each atom.
Sites, in units of the cell vectors:
Ru (0.0000, 0.0000, 0.0000)  2 Cl 2.26
Tc (0.5000, 0.5000, 0.5000)  6 Cl 2.50
Cl (0.9074, 0.9074, 0.9074)  1 Ru 2.26, 3 Tc 2.50
Cl (0.0926, 0.0926, 0.0926)  1 Ru 2.26, 3 Tc 2.50

Computed properties:
Energy above the lowest structure with this stoichiometry   581 meV/atom
DOS(E_F)   3.95 states/eV per cell
M_tot   0.24 μB/cell
Energy relative to the elements, uncorrected   0.5161 eV/atom
Electronic total energy   -5.318 eV/atom
Space group   R-3m (166)